Record 1
# ReTeRu2 GGA-PBE relaxed
data_ReTeRu2
_chemical_formula_sum 'Re1 Te1 Ru2'
_space_group_name_H-M_alt 'P 1 m 1'
_space_group_IT_number 6
_space_group_name_Hall 'P -2y'
_cell_length_a 2.936
_cell_length_b 4.049
_cell_length_c 5.631
_cell_angle_alpha 90.00
_cell_angle_beta 105.03
_cell_angle_gamma 90.00
loop_
_atom_site_label
_atom_site_type_symbol
_atom_site_fract_x
_atom_site_fract_y
_atom_site_fract_z
Re1 Re 0.000 0.000 0.000
Te1 Te 0.836 0.500 0.673
Ru1 Ru 0.245 0.000 0.490
Ru2 Ru 0.598 0.500 0.196
# uncorrected formation energy = 0.434 eV/atom
# DOS at the Fermi energy = 2.86 states/eV per cell



Record 2
# Pm2Tm3Tl4 GGA-PBE relaxed
data_Pm2Tm3Tl4
_chemical_formula_sum 'Pm8 Tm12 Tl16'
_space_group_name_H-M_alt 'C m c e'
_space_group_IT_number 64
_space_group_name_Hall '-C 2ac 2'
_cell_length_a 7.095
_cell_length_b 16.589
_cell_length_c 9.042
_cell_angle_alpha 90.00
_cell_angle_beta 90.00
_cell_angle_gamma 90.00
loop_
_atom_site_label
_atom_site_type_symbol
_atom_site_fract_x
_atom_site_fract_y
_atom_site_fract_z
Pm1 Pm 0.000 0.110 0.078
Tm1 Tm 0.000 0.000 0.500
Tm2 Tm 0.250 0.215 0.750
Tl1 Tl 0.000 0.185 0.457
Tl2 Tl 0.250 0.033 0.750
# energy of formation from the pure elements = -232 meV per atom
# ΔE to the lowest computed polymorph = 52 meV per atom
# DOS at the Fermi energy = 30.02 states/eV per cell



Record 3
# Li4Cd2Pt GGA-PBE relaxed
data_Li4Cd2Pt
_chemical_formula_sum 'Li8 Cd4 Pt2'
_space_group_name_H-M_alt 'C 1 2/m 1'
_space_group_IT_number 12
_space_group_name_Hall '-C 2y'
_cell_length_a 14.197
_cell_length_b 2.855
_cell_length_c 7.065
_cell_angle_alpha 90.00
_cell_angle_beta 119.05
_cell_angle_gamma 90.00
loop_
_atom_site_label
_atom_site_type_symbol
_atom_site_fract_x
_atom_site_fract_y
_atom_site_fract_z
Li1 Li 0.076 0.000 0.417
Li2 Li 0.120 0.500 0.877
Cd1 Cd 0.228 0.000 0.277
Pt1 Pt 0.000 0.000 0.000
# energy of formation from the pure elements = -247 meV per atom
# ΔE to the lowest computed polymorph = 0 meV per atom
# DOS at the Fermi energy = 4.73 states/eV per cell



Record 4
# LaMo3Pt GGA-PBE relaxed
data_LaMo3Pt
_chemical_formula_sum 'La1 Mo3 Pt1'
_space_group_name_H-M_alt 'P m -3 m'
_space_group_IT_number 221
_space_group_name_Hall '-P 4 2 3'
_cell_length_a 4.897
_cell_length_b 4.897
_cell_length_c 4.897
_cell_angle_alpha 90.00
_cell_angle_beta 90.00
_cell_angle_gamma 90.00
loop_
_atom_site_label
_atom_site_type_symbol
_atom_site_fract_x
_atom_site_fract_y
_atom_site_fract_z
La1 La 0.000 0.000 0.000
Mo1 Mo 0.000 0.500 0.500
Pt1 Pt 0.500 0.500 0.500
# energy of formation from the pure elements = 1191 meV per atom
# ΔE to the lowest computed polymorph = 0 meV per atom
# DOS at the Fermi energy = 9.33 states/eV per cell



Record 5
# HgRh2Pb GGA-PBE relaxed
data_HgRh2Pb
_chemical_formula_sum 'Hg2 Rh4 Pb2'
_space_group_name_H-M_alt 'I -4 m 2'
_space_group_IT_number 119
_space_group_name_Hall 'I -4 -2'
_cell_length_a 3.978
_cell_length_b 3.978
_cell_length_c 9.398
_cell_angle_alpha 90.00
_cell_angle_beta 90.00
_cell_angle_gamma 90.00
loop_
_atom_site_label
_atom_site_type_symbol
_atom_site_fract_x
_atom_site_fract_y
_atom_site_fract_z
Hg1 Hg 0.000 0.000 0.000
Rh1 Rh 0.000 0.000 0.500
Rh2 Rh 0.000 0.500 0.250
Pb1 Pb 0.000 0.500 0.750
# energy of formation from the pure elements = 251 meV per atom
# DOS at the Fermi energy = 12.53 states/eV per cell



Record 6
# Rb2CuW GGA-PBE relaxed
data_Rb2CuW
_chemical_formula_sum 'Rb8 Cu4 W4'
_space_group_name_H-M_alt 'I -4 2 d'
_space_group_IT_number 122
_space_group_name_Hall 'I -4 2bw'
_cell_length_a 13.127
_cell_length_b 13.127
_cell_length_c 4.729
_cell_angle_alpha 90.00
_cell_angle_beta 90.00
_cell_angle_gamma 90.00
loop_
_atom_site_label
_atom_site_type_symbol
_atom_site_fract_x
_atom_site_fract_y
_atom_site_fract_z
Rb1 Rb 0.064 0.250 0.125
Cu1 Cu 0.000 0.000 0.000
W1 W 0.000 0.000 0.500
# energy of formation from the pure elements = 1544 meV per atom
# ΔE to the lowest computed polymorph = 0 meV per atom
# DOS at the Fermi energy = 14.16 states/eV per cell